{"formula": "FeCuIO6", "functional": "PBE with a Hubbard U", "state": "relaxed", "final_energy_ev_per_atom": -5.1752, "cell": [[4.687, 0.000, 0.000], [0.000, 4.687, 0.000], [0.000, 0.000, 9.160]], "species": ["Fe", "Fe", "Cu", "Cu", "I", "I", "O", "O", "O", "O", "O", "O", "O", "O", "O", "O", "O", "O"], "fractional_positions": [[0.000, 0.000, 0.000], [0.500, 0.500, 0.500], [0.000, 0.000, 0.329], [0.500, 0.500, 0.829], [0.000, 0.000, 0.663], [0.500, 0.500, 0.163], [0.189, 0.189, 0.823], [0.192, 0.192, 0.506], [0.208, 0.208, 0.160], [0.292, 0.708, 0.660], [0.308, 0.692, 0.006], [0.311, 0.689, 0.323], [0.689, 0.311, 0.323], [0.692, 0.308, 0.006], [0.708, 0.292, 0.660], [0.792, 0.792, 0.160], [0.808, 0.808, 0.506], [0.811, 0.811, 0.823]]}